The following is a DFT calculation (PBE+U) of an optimized crystal structure of CoHgPbF6.

Unit cell a=5.8387 b=5.8387 c=10.1284 alpha=90.00 beta=90.00 gamma=120.00
With the nearest neighbours (Å) after each atom.
Fractional coordinates of all 18 atoms:
Co1 0.6667 0.3333 0.2500  6 F 2.07
Co2 0.3333 0.6667 0.7500  6 F 2.07
Hg1 0.3333 0.6667 0.2500  6 F 2.35
Hg2 0.6667 0.3333 0.7500  6 F 2.35
Pb1 0.0000 0.0000 0.0000  6 F 2.50
Pb2 0.0000 0.0000 0.5000  6 F 2.50
F1 0.6663 0.6301 0.1388  1 Co 2.07
F2 0.9638 0.3337 0.1388  1 Co 2.07
F3 0.3337 0.9638 0.6388  1 Co 2.07
F4 0.0362 0.6663 0.8612  1 Co 2.07
F5 0.3699 0.3337 0.3612  1 Co 2.07
F6 0.9638 0.6301 0.3612  1 Co 2.07
F7 0.6301 0.9638 0.8612  1 Co 2.07
F8 0.6663 0.0362 0.3612  1 Co 2.07
F9 0.0362 0.3699 0.6388  1 Co 2.07
F10 0.3699 0.0362 0.1388  1 Co 2.07
F11 0.6301 0.6663 0.6388  1 Co 2.07
F12 0.3337 0.3699 0.8612  1 Co 2.07

## Properties
- V (Å³ per cell) = 299.0
- VASP energy (eV per atom) = -4.236